# 1
Here is an optimized crystal structure of Sb2Pb2Se from the Alexandria database. Energies are from PBE-GGA.

```
Sb2Pb2Se
1.0
-3.0547 3.0547 4.3303
3.0547 -3.0547 4.3303
3.0547 3.0547 -4.3303
Sb Pb Se
2 2 1
Direct
0.3314 0.3314 0.0000
0.6686 0.6686 0.0000
0.2500 0.7500 0.5000
0.7500 0.2500 0.5000
0.0000 0.0000 0.0000
```

Space-group type: I4/mmm (139)
Distance to the lowest polymorph of the same formula, kcal/mol of atoms: 2.62
Formation energy without anion corrections, eV/atom: 0.0581



# 2
Here is an optimized crystal structure of SbPb2Se3 from the Alexandria database. Energies are from PBE-GGA.

```
SbPb2Se3
1.0
4.1738 0.0000 -1.1825
-0.6526 5.7559 -2.3033
-0.1409 -0.4066 7.4599
Pb Se Sb
2 3 1
Direct
0.6655 0.1655 0.3311
0.3345 0.8345 0.6689
0.3459 0.3459 0.6919
0.6541 0.6541 0.3081
0.0000 0.0000 0.0000
0.0000 0.5000 0.0000
```

Space-group type: Immm (71)
Formation energy without anion corrections, eV/atom: -0.3675



# 3
Here is an optimized crystal structure of SbPb3Se from the Alexandria database. Energies are from PBE-GGA.

```
SbPb3Se
1.0
-1.9596 0.8439 5.5038
2.9774 -4.7716 1.7918
4.7052 3.3709 1.1584
Pb Se Sb
3 1 1
Direct
0.5000 0.0000 0.0000
0.0000 0.0000 0.5000
0.0000 0.5000 0.0000
0.5000 0.5000 0.5000
0.0000 0.0000 0.0000
```

Space-group type: Pm-3m (221)
Distance to the lowest polymorph of the same formula, kcal/mol of atoms: 15.58
Formation energy without anion corrections, eV/atom: 0.5438



# 4
Here is an optimized crystal structure of Sb2PbSe2 from the Alexandria database. Energies are from PBE-GGA.

```
Sb2PbSe2
1.0
4.1664 0.0000 0.0000
0.0000 4.1664 0.0000
2.0832 2.0832 8.2262
Se Sb Pb
2 2 1
Direct
0.4077 0.4077 0.1846
0.5923 0.5923 0.8154
0.7500 0.2500 0.5000
0.2500 0.7500 0.5000
0.0000 0.0000 0.0000
```

Space-group type: I4/mmm (139)
Distance to the lowest polymorph of the same formula, kcal/mol of atoms: 1.77
Formation energy without anion corrections, eV/atom: 0.0481